Entry 1:
Below is Nd2ZrAs3Rh4 after structural relaxation, with properties calculated at the PBE-GGA level.

The structure in CIF format:
```
data_Nd2ZrAs3Rh4
_chemical_formula_sum 'Nd2 Zr1 As3 Rh4'
_symmetry_space_group_name_H-M 'P 1'
_symmetry_Int_Tables_number 1
_cell_length_a 4.1374
_cell_length_b 4.1374
_cell_length_c 11.1619
_cell_angle_alpha 90.00
_cell_angle_beta 90.00
_cell_angle_gamma 90.00
loop_
_symmetry_equiv_pos_as_xyz
'x,y,z'
loop_
_atom_site_label
_atom_site_type_symbol
_atom_site_fract_x
_atom_site_fract_y
_atom_site_fract_z
Nd1 Nd 0.5000 0.0000 0.2261
Nd2 Nd 0.0000 0.5000 0.7739
Zr1 Zr 0.5000 0.5000 0.5000
As1 As 0.0000 0.0000 0.5000
As2 As 0.5000 0.0000 0.8665
As3 As 0.0000 0.5000 0.1335
Rh1 Rh 0.5000 0.5000 0.0000
Rh2 Rh 0.0000 0.0000 0.0000
Rh3 Rh 0.5000 0.0000 0.6462
Rh4 Rh 0.0000 0.5000 0.3538
```

Calculated values
As for the energy relative to the elements: -960 meV/atom. The space group is P-4m2. The calculation puts the total DFT energy (no corrections) at -71.0 eV per cell. For the size of the total moment, the calculation gives 0.0 μB per formula unit.

***

Entry 2:
Below is AcLaZnRu after structural relaxation, with properties calculated at the PBE-GGA level.

The structure in CIF format:
```
data_AcLaZnRu
_chemical_formula_sum 'Ac1 La1 Zn1 Ru1'
_symmetry_space_group_name_H-M 'P 1'
_symmetry_Int_Tables_number 1
_cell_length_a 5.2555
_cell_length_b 5.2555
_cell_length_c 5.2555
_cell_angle_alpha 60.00
_cell_angle_beta 60.00
_cell_angle_gamma 60.00
loop_
_symmetry_equiv_pos_as_xyz
'x,y,z'
loop_
_atom_site_label
_atom_site_type_symbol
_atom_site_fract_x
_atom_site_fract_y
_atom_site_fract_z
Ru1 Ru 0.7500 0.7500 0.7500
Ac1 Ac 0.5000 0.5000 0.5000
Zn1 Zn 0.2500 0.2500 0.2500
La1 La 0.0000 0.0000 0.0000
```

Calculated values
As for the energy relative to the elements: -150 meV/atom. Its polymorph energy (0 for the lowest one) is 0.060 eV per atom. The space group is F-43m. The calculation puts the total DFT energy (no corrections) at -20.2 eV per cell. For the size of the total moment, the calculation gives 0.0 μB per formula unit.

***

Entry 3:
Below is Mg6ZnAg12 after structural relaxation, with properties calculated at the PBE-GGA level.

The structure in CIF format:
```
data_Mg6ZnAg12
_chemical_formula_sum 'Mg6 Zn1 Ag12'
_symmetry_space_group_name_H-M 'P 1'
_symmetry_Int_Tables_number 1
_cell_length_a 7.0730
_cell_length_b 7.0730
_cell_length_c 7.0730
_cell_angle_alpha 91.70
_cell_angle_beta 91.70
_cell_angle_gamma 91.70
loop_
_symmetry_equiv_pos_as_xyz
'x,y,z'
loop_
_atom_site_label
_atom_site_type_symbol
_atom_site_fract_x
_atom_site_fract_y
_atom_site_fract_z
Mg1 Mg 0.7149 0.8842 0.2706
Mg2 Mg 0.7294 0.2851 0.1158
Mg3 Mg 0.1158 0.7294 0.2851
Mg4 Mg 0.2851 0.1158 0.7294
Mg5 Mg 0.2706 0.7149 0.8842
Mg6 Mg 0.8842 0.2706 0.7149
Zn1 Zn 0.0000 0.0000 0.0000
Ag1 Ag 0.7963 0.5341 0.4442
Ag2 Ag 0.4442 0.7963 0.5341
Ag3 Ag 0.5341 0.4442 0.7963
Ag4 Ag 0.2037 0.4659 0.5558
Ag5 Ag 0.5558 0.2037 0.4659
Ag6 Ag 0.4659 0.5558 0.2037
Ag7 Ag 0.0322 0.1471 0.3636
Ag8 Ag 0.8529 0.6364 0.9678
Ag9 Ag 0.6364 0.9678 0.8529
Ag10 Ag 0.9678 0.8529 0.6364
Ag11 Ag 0.1471 0.3636 0.0322
Ag12 Ag 0.3636 0.0322 0.1471
```

Calculated values
As for the energy relative to the elements: -110 meV/atom. The space group is R-3. The calculation puts the total DFT energy (no corrections) at -47.1 eV per cell. For the size of the total moment, the calculation gives 0.0 μB per formula unit.

***

Entry 4:
Below is Y2InTe after structural relaxation, with properties calculated at the PBE-GGA level.

The structure in CIF format:
```
data_Y2InTe
_chemical_formula_sum 'Y2 In1 Te1'
_symmetry_space_group_name_H-M 'P 1'
_symmetry_Int_Tables_number 1
_cell_length_a 3.6822
_cell_length_b 3.6709
_cell_length_c 8.9100
_cell_angle_alpha 65.81
_cell_angle_beta 90.00
_cell_angle_gamma 90.00
loop_
_symmetry_equiv_pos_as_xyz
'x,y,z'
loop_
_atom_site_label
_atom_site_type_symbol
_atom_site_fract_x
_atom_site_fract_y
_atom_site_fract_z
In1 In 0.5000 0.2500 0.2500
Te1 Te 0.5000 0.7500 0.7500
Y1 Y 0.0000 0.0081 0.9911
Y2 Y 0.0000 0.4919 0.5089
```

Calculated values
Its polymorph energy (0 for the lowest one) is 0.192 eV per atom. The space group is P2/m. The calculation puts the total DFT energy (no corrections) at -21.8 eV per cell. For the size of the total moment, the calculation gives 0.0 μB per formula unit.